Density functional theory data (SCAN) for a crystal of LaAlTcGe2 relaxed with PBEsol.

Calculated values
* raw total energy: -0.9084 hartree per atom

Unit cell a=4.8197 b=4.8197 c=5.1063 alpha=90.00 beta=90.00 gamma=90.00
With the nearest neighbours (Å) after each atom.
Positions (direct):
Ge (0.0000, 0.5000, 0.0000)  2 Tc 2.41
Ge (0.5000, 0.0000, 0.0000)  2 Tc 2.41
Al (0.5000, 0.5000, 0.5000)  4 La 3.41, 8 Ge 3.51
Tc (0.0000, 0.0000, 0.0000)  4 Ge 2.41, 2 La 2.55
La (0.0000, 0.0000, 0.5000)  2 Tc 2.55